# RbTl6Cl8

RbTl6Cl8 after structural relaxation (PBE, Alexandria via LeMat-Bulk).

**Volume**: 35.8 A^3/atom
**Total moment**: 0.000 μB/f.u.
**Formation energy from raw total energies**: -1.03 eV/atom

The structure in CIF format:
```
data_RbTl6Cl8
_chemical_formula_sum 'Rb3 Tl18 Cl24'
_space_group_name_H-M_alt 'R -3'
_space_group_IT_number 148
_space_group_name_Hall '-R 3'
_cell_length_a 13.0867
_cell_length_b 13.0867
_cell_length_c 10.8572
_cell_angle_alpha 90.00
_cell_angle_beta 90.00
_cell_angle_gamma 120.00
loop_
_atom_site_label
_atom_site_type_symbol
_atom_site_fract_x
_atom_site_fract_y
_atom_site_fract_z
_atom_site_occupancy
Rb1 Rb 0.0000 0.0000 0.0000 1
Tl1 Tl 0.0183 0.2369 0.6798 1
Cl1 Cl 0.0000 0.0000 0.3225 1
Cl2 Cl 0.0512 0.4692 0.8037 1
```